1.
A geometry-optimized La4Pr2HoSc structure, computed with PBE-GGA.

Properties
**ΔE_f**: 0.2 eV/f.u.
**ρ**: 6.36 g cm⁻³

The structure in CIF format:
```
data_La4Pr2HoSc
_cell_length_a 5.163
_cell_length_b 5.196
_cell_length_c 10.197
_cell_angle_alpha 90.00
_cell_angle_beta 90.00
_cell_angle_gamma 90.00
_symmetry_space_group_name_H-M 'P m m m'
_symmetry_Int_Tables_number 47
_symmetry_space_group_name_Hall '-P 2 2'
loop_
_atom_site_label
_atom_site_fract_x
_atom_site_fract_y
_atom_site_fract_z
_atom_site_occupancy
La1 0.000 0.000 0.246 1
La2 0.500 0.500 0.246 1
Pr1 0.000 0.500 0.000 1
Pr2 0.500 0.000 0.500 1
Ho1 0.000 0.500 0.500 1
Sc1 0.500 0.000 0.000 1
```

=====

2.
A geometry-optimized LaPr5Ho2Sc structure, computed with PBE-GGA.

Properties
**ΔE_f**: 1.4 eV/f.u.
**ρ**: 6.56 g cm⁻³

The structure in CIF format:
```
data_LaPr5Ho2Sc
_cell_length_a 5.716
_cell_length_b 20.377
_cell_length_c 10.592
_cell_angle_alpha 90.00
_cell_angle_beta 90.00
_cell_angle_gamma 90.00
_symmetry_space_group_name_H-M 'C m c 21'
_symmetry_Int_Tables_number 36
_symmetry_space_group_name_Hall 'C 2c -2'
loop_
_atom_site_label
_atom_site_fract_x
_atom_site_fract_y
_atom_site_fract_z
_atom_site_occupancy
La1 0.000 0.089 0.000 1
Pr1 0.000 0.014 0.285 1
Pr2 0.000 0.126 0.561 1
Pr3 0.000 0.203 0.250 1
Pr4 0.000 0.224 0.864 1
Pr5 0.000 0.483 0.559 1
Ho1 0.000 0.384 0.279 1
Ho2 0.000 0.388 0.851 1
Sc1 0.000 0.306 0.556 1
```

=====

Q: Which of these has the lowest ρ?
A: La4Pr2HoSc